1.
Material: YCoSn
Method: DFT, SCAN
State: single point on PBEsol structure

It has space group Pnma (No. 62), with a = 6.926 Å, b = 4.381 Å, c = 7.592 Å, α = 90.00°, β = 90.00° and γ = 90.00°. The inequivalent atoms are Y at (0.019, 0.250, 0.191), Co at (0.215, 0.750, 0.404) and Sn at (0.174, 0.250, 0.579).

Its energy of formation from the pure elements is -474 meV/atom.



2.
Material: Pr5Bi3Br
Method: DFT, SCAN
State: single point on PBEsol structure

It has space group P6_3/mcm (No. 193), with a = 9.5573 Å, b = 9.5573 Å, c = 6.6610 Å, α = 90.00°, β = 90.00° and γ = 120.00°. The inequivalent atoms are Pr at (0.0000, 0.2710, 0.2500), Pr at (0.3333, 0.6667, 0.0000), Bi at (0.0000, 0.3856, 0.7500) and Br at (0.0000, 0.0000, 0.0000).

For the calculated total energy, the calculation gives -53.608 eV/atom.